No. 1
Computed, not measured: a geometry-optimized BeNb3Ga structure at the PBE level of DFT.

abc: 6.1409 6.1409 5.0277
angles: 90.00 90.00 120.00
Closest atoms and distances in Å follow each position.
Space group P6_3/mmc (No. 194)
Unique sites:
Be 0.0000 0.0000 0.0000 x2  6 Nb 2.30, 2 Be 2.51
Nb 0.1806 0.3613 0.2500 x6  2 Be 2.30
Ga 0.3333 0.6667 0.7500 x2  12 Nb 2.99-3.07

Summary:
relative energy among the computed polymorphs = 0.0 meV/atom
V = 16.4 Å³/atom
M_tot = 0.0 μB/cell
energy of formation from the pure elements = 98 meV/atom
total energy = -7.29 eV per atom

No. 2
Computed, not measured: a geometry-optimized Sr2Tl5Pt3 structure at the PBE level of DFT.

abc: 4.6232 27.9969 7.8630
angles: 90.00 90.00 90.00
Closest atoms and distances in Å follow each position.
Space group Cmc2_1 (No. 36)
Unique sites:
Sr 0.0000 0.0255 0.0000 x4  5 Pt 3.08-3.40
Sr 0.0000 0.3240 0.0824 x4  4 Pt 3.24-3.50, 7 Tl 3.39-3.58
Tl 0.0000 0.0970 0.3791 x4  3 Pt 2.85-2.99, 1 Tl 3.18
Tl 0.0000 0.2065 0.8807 x4  4 Pt 2.84-2.91
Tl 0.0000 0.2076 0.2877 x4  3 Pt 2.87-2.93, 2 Tl 3.18-3.20
Tl 0.0000 0.3746 0.5378 x4  4 Pt 2.95-3.23
Tl 0.0000 0.4475 0.1708 x4  4 Pt 2.83-2.97
Pt 0.0000 0.1114 0.7560 x4  4 Tl 2.84-2.99, 1 Sr 3.08
Pt 0.0000 0.2700 0.5870 x4  7 Tl 2.87-2.95
Pt 0.0000 0.4575 0.7954 x4  5 Tl 2.83-3.08

Summary:
V = 25.4 Å³/atom
M_tot = 0.0 μB/cell
energy of formation from the pure elements = -407 meV/atom
total energy = -3.74 eV per atom

No. 3
Computed, not measured: a geometry-optimized LaCrSeBr2 structure at the PBE level of DFT.

abc: 5.8134 5.8134 5.7998
angles: 90.00 90.00 90.00
Closest atoms and distances in Å follow each position.
Space group P4/mmm (No. 123)
Unique sites:
La 0.0000 0.0000 0.0000 x1  2 Se 2.90, 4 Br 2.91
Cr 0.5000 0.5000 0.5000 x1  8 Br 4.11, 4 Se 4.11
Se 0.0000 0.0000 0.5000 x1  2 La 2.90
Br 0.0000 0.5000 0.0000 x2  2 La 2.91

Summary:
V = 39.2 Å³/atom
M_tot = 5.0 μB/cell
E_form (uncorrected) = -0.65 eV/atom
total energy = -4.93 eV per atom

Which of these has the lowest V?
BeNb3Ga

Which formula does entry 3 have?
LaCrSeBr2